VASP calculation (GGA-PBE) on a geometry-optimized LiTa2Ru structure.

```
4
Lattice="-2.599 2.735 2.386 -3.435 2.080 -1.950 -4.186 -1.196 0.988" Properties=species:S:1:pos:R:3 pbc="T T T"
Ta -2.555 0.905 0.356
Li -5.110 1.810 0.712
Ta 0.000 0.000 0.000
Ru -7.665 2.714 1.067
```

Calculated values
total energy	-8.511	eV per atom
ΔE_f	212	meV/atom
crystal system	cubic
space-group type	F-43m, No. 216